Arrangement A

DFT (PBE) results for a relaxed structure of AcTeSe3.

Cell: 17.1336 4.3434 8.3569 Å, 90.00 93.02 90.00°
Closest atoms and distances in Å follow each position.
Space group C2/m (No. 12)
Symmetry-distinct sites (fractional):
Ac (0.2229, 0.0000, 0.2355) x4  7 Se 3.05-3.26
Te (0.0433, 0.5000, 0.6714) x4  2 Se 2.75
Se (0.0323, 0.0000, 0.2069) x4  2 Te 2.75
Se (0.1488, 0.5000, 0.0201) x4  3 Ac 3.05-3.15, 1 Te 3.35, 2 Se 3.39
Se (0.1655, 0.0000, 0.5899) x4  2 Te 3.12, 3 Ac 3.17-3.20

Volume ... 31.05 Å³ per atom
Theoretical density ... 6.33 g/cm3

Arrangement B

DFT (PBE) results for a relaxed structure of AcTeSe3.

Cell: 8.0992 4.7546 15.5401 Å, 90.00 90.00 90.00°
Closest atoms and distances in Å follow each position.
Space group Pnma (No. 62)
Symmetry-distinct sites (fractional):
Ac (0.0495, 0.2500, 0.1337) x4  7 Se 3.10-3.36
Te (0.0478, 0.7500, 0.4030) x4  3 Se 2.63-2.71
Se (0.0523, 0.7500, 0.6617) x4  2 Te 2.71
Se (0.1845, 0.7500, 0.0245) x4  3 Ac 3.10-3.12, 1 Te 3.15
Se (0.2074, 0.2500, 0.7922) x4  1 Te 2.63

Volume ... 29.92 Å³ per atom
Theoretical density ... 6.57 g/cm3

Most stable structure: arrangement B

Arrangement A

DFT (PBE) results for a relaxed structure of AcTeSe.

Cell: 4.5066 4.5066 18.4930 Å, 90.00 90.00 90.00°
Closest atoms and distances in Å follow each position.
Space group I4/mmm (No. 139)
Symmetry-distinct sites (fractional):
Ac (0.0000, 0.0000, 0.1474) x4  5 Se 3.13-3.25
Te (0.0000, 0.5000, 0.0000) x4  4 Te 3.19, 4 Ac 3.54
Se (0.0000, 0.0000, 0.3168) x4  5 Ac 3.13-3.25

Volume ... 31.30 Å³ per atom
Theoretical density ... 7.67 g/cm3

Arrangement B

DFT (PBE) results for a relaxed structure of AcTeSe.

Cell: 6.2774 6.5505 9.1629 Å, 90.00 90.00 90.00°
Closest atoms and distances in Å follow each position.
Space group Cmme (No. 67)
Symmetry-distinct sites (fractional):
Ac (0.0000, 0.2500, 0.2082) x4  5 Se 3.15-3.34, 4 Te 3.51
Te (0.2500, 0.0000, 0.5000) x4  4 Te 3.14-3.28, 4 Ac 3.51
Se (0.0000, 0.2500, 0.8644) x4  5 Ac 3.15-3.34

Volume ... 31.40 Å³ per atom
Theoretical density ... 7.64 g/cm3

Arrangement C

DFT (PBE) results for a relaxed structure of AcTeSe.

Cell: 5.1424 5.1424 4.5293 Å, 90.00 90.00 120.00°
Closest atoms and distances in Å follow each position.
Space group P-6m2 (No. 187)
Symmetry-distinct sites (fractional):
Ac (0.0000, 0.0000, 0.0000) x1  3 Se 2.97
Te (0.3333, 0.6667, 0.5000) x1  6 Ac 3.73, 6 Se 3.73
Se (0.6667, 0.3333, 0.0000) x1  3 Ac 2.97

Volume ... 34.58 Å³ per atom
Theoretical density ... 6.94 g/cm3

Most stable structure: arrangement B

Arrangement A

DFT (PBE) results for a relaxed structure of AcTeSe.

Cell: 7.6412 7.6412 7.6412 Å, 90.00 90.00 90.00°
Closest atoms and distances in Å follow each position.
Space group F-43m (No. 216)
Symmetry-distinct sites (fractional):
Ac (0.0000, 0.0000, 0.0000) x4  4 Se 3.31, 4 Te 3.31
Te (0.2500, 0.2500, 0.7500) x4  4 Ac 3.31
Se (0.2500, 0.2500, 0.2500) x4  4 Ac 3.31

Volume ... 37.18 Å³ per atom
Theoretical density ... 6.45 g/cm3

Arrangement B

DFT (PBE) results for a relaxed structure of AcTeSe.

Cell: 4.2522 4.2522 10.5275 Å, 90.00 90.00 90.00°
Closest atoms and distances in Å follow each position.
Space group I4mm (No. 107)
Symmetry-distinct sites (fractional):
Ac (0.0000, 0.0000, 0.0000) x2  4 Se 3.28, 5 Te 3.46-3.55
Te (0.0000, 0.0000, 0.6627) x2  1 Se 3.02
Se (0.0000, 0.0000, 0.3761) x2  1 Te 3.02, 4 Ac 3.28

Volume ... 31.72 Å³ per atom
Theoretical density ... 7.56 g/cm3

Most stable structure: arrangement B